The following is a GGA-PBE calculation of a relaxed structure of Zr2NbCrIn, from the Alexandria database.

Results
The value obtained for the calculated volume is 23.7 Å³ per atom. Its energy of formation from the pure elements is 944 meV per atom. The space-group type is No. 123.

a = 5.188 Å, b = 4.400 Å, c = 5.188 Å
α = 90.00°, β = 90.00°, γ = 90.00°
Fractional coordinates of all 5 atoms:
Cr: 0.000 0.500 0.000
Zr: 0.500 0.000 0.000
In: 0.500 0.500 0.500
Nb: 0.000 0.000 0.000
Zr: 0.000 0.000 0.500